Entry 1:
# K3MnCr2S6 (PBE-GGA, optimized geometry)
# DOS at the Fermi energy	0.384	states/eV per atom
# E_form (uncorrected)	-10.53	eV per formula unit
# calculated density	3.102	Mg/m³
# raw total energy	-5.5840	eV per atom
data_K3MnCr2S6
_symmetry_space_group_name_H-M 'C 1 2/m 1'
_symmetry_Int_Tables_number 12
_cell_length_a 6.4371
_cell_length_b 10.9720
_cell_length_c 7.4403
_cell_angle_alpha 90.00
_cell_angle_beta 107.29
_cell_angle_gamma 90.00
loop_
_symmetry_equiv_pos_as_xyz
'x,y,z'
'-x,-y,-z'
'-x,y,-z'
'x,-y,z'
'x+1/2,y+1/2,z'
'-x+1/2,-y+1/2,-z'
'-x+1/2,y+1/2,-z'
'x+1/2,-y+1/2,z'
loop_
_atom_site_label
_atom_site_fract_x
_atom_site_fract_y
_atom_site_fract_z
K1 0.0000 0.0000 0.0000
K2 0.0000 0.3337 0.0000
Mn1 0.0000 0.5000 0.5000
Cr1 0.0000 0.1656 0.5000
S1 0.2147 0.0000 0.6839
S2 0.2270 0.3333 0.6734

Entry 2:
# TlPbAuO4 (PBE-GGA, optimized geometry)
# DOS at the Fermi energy	0.198	states/eV per atom
# E_form (uncorrected)	-3.54	eV per formula unit
# calculated density	9.163	Mg/m³
# raw total energy	-4.6755	eV per atom
data_TlPbAuO4
_symmetry_space_group_name_H-M 'I m m a'
_symmetry_Int_Tables_number 74
_symmetry_space_group_name_Hall '-I 2b 2'
_cell_length_a 6.4353
_cell_length_b 6.7698
_cell_length_c 11.1905
_cell_angle_alpha 90.00
_cell_angle_beta 90.00
_cell_angle_gamma 90.00
loop_
_atom_site_label
_atom_site_fract_x
_atom_site_fract_y
_atom_site_fract_z
Tl1 0.0000 0.2500 0.1579
Pb1 0.0000 0.0000 0.5000
Au1 0.2500 0.2500 0.7500
O1 0.0000 0.0572 0.7144
O2 0.2200 0.2500 0.4815

Entry 3:
# KIrPt3 (PBE-GGA, optimized geometry)
# DOS at the Fermi energy	1.173	states/eV per atom
# energy relative to the elements	2.671	eV per atom
# calculated density	12.478	Mg/m³
# raw total energy	-2.9452	eV per atom
data_KIrPt3
_symmetry_space_group_name_H-M 'P m -3 m'
_symmetry_Int_Tables_number 221
_symmetry_space_group_name_Hall '-P 4 2 3'
_cell_length_a 4.7720
_cell_length_b 4.7720
_cell_length_c 4.7720
_cell_angle_alpha 90.00
_cell_angle_beta 90.00
_cell_angle_gamma 90.00
loop_
_atom_site_label
_atom_site_fract_x
_atom_site_fract_y
_atom_site_fract_z
K1 0.0000 0.0000 0.0000
Ir1 0.5000 0.5000 0.5000
Pt1 0.0000 0.0000 0.5000

Entry 4:
# Hf3Ga4Pd2 (PBE-GGA, optimized geometry)
# DOS at the Fermi energy	0.624	states/eV per atom
# energy relative to the elements	-0.595	eV per atom
# calculated density	10.941	Mg/m³
# raw total energy	-6.4118	eV per atom
data_Hf3Ga4Pd2
_symmetry_space_group_name_H-M 'C 1 2/m 1'
_symmetry_Int_Tables_number 12
_cell_length_a 9.7514
_cell_length_b 4.4381
_cell_length_c 8.2876
_cell_angle_alpha 90.00
_cell_angle_beta 119.62
_cell_angle_gamma 90.00
loop_
_symmetry_equiv_pos_as_xyz
'x,y,z'
'-x,-y,-z'
'-x,y,-z'
'x,-y,z'
'x+1/2,y+1/2,z'
'-x+1/2,-y+1/2,-z'
'-x+1/2,y+1/2,-z'
'x+1/2,-y+1/2,z'
loop_
_atom_site_label
_atom_site_fract_x
_atom_site_fract_y
_atom_site_fract_z
Hf1 0.0000 0.0000 0.0000
Hf2 0.1620 0.5000 0.6735
Ga1 0.0782 0.0000 0.4095
Ga2 0.2037 0.5000 0.0391
Pd1 0.1116 0.5000 0.2773

Entry 5:
# U4Ga12Ir (PBE-GGA, optimized geometry)
# DOS at the Fermi energy	1.668	states/eV per atom
# energy relative to the elements	-0.294	eV per atom
# calculated density	10.368	Mg/m³
# raw total energy	-5.6074	eV per atom
data_U4Ga12Ir
_symmetry_space_group_name_H-M 'I m -3 m'
_symmetry_Int_Tables_number 229
_symmetry_space_group_name_Hall '-I 4 2 3'
_cell_length_a 8.5931
_cell_length_b 8.5931
_cell_length_c 8.5931
_cell_angle_alpha 90.00
_cell_angle_beta 90.00
_cell_angle_gamma 90.00
loop_
_atom_site_label
_atom_site_fract_x
_atom_site_fract_y
_atom_site_fract_z
U1 0.2500 0.2500 0.2500
Ga1 0.0000 0.0000 0.2933
Ga2 0.0000 0.2500 0.5000
Ir1 0.0000 0.0000 0.0000

Entry 6:
# K3Au (PBE-GGA, optimized geometry)
# DOS at the Fermi energy	0.389	states/eV per atom
# energy relative to the elements	-0.175	eV per atom
# calculated density	2.805	Mg/m³
# raw total energy	-1.8170	eV per atom
data_K3Au
_symmetry_space_group_name_H-M 'P n m a'
_symmetry_Int_Tables_number 62
_cell_length_a 9.1396
_cell_length_b 10.7631
_cell_length_c 7.5643
_cell_angle_alpha 90.00
_cell_angle_beta 90.00
_cell_angle_gamma 90.00
loop_
_symmetry_equiv_pos_as_xyz
'x,y,z'
'-x,-y,-z'
'-x+1/2,-y,z+1/2'
'x+1/2,y,-z+1/2'
'x+1/2,-y+1/2,-z+1/2'
'-x+1/2,y+1/2,z+1/2'
'-x,y+1/2,-z'
'x,-y+1/2,z'
loop_
_atom_site_label
_atom_site_fract_x
_atom_site_fract_y
_atom_site_fract_z
K1 0.0368 0.2500 0.1336
K2 0.1687 0.0634 0.6590
Au1 0.1241 0.7500 0.4521

Entry 7:
# Nd4Sm5Ho (PBE-GGA, optimized geometry)
# DOS at the Fermi energy	1.379	states/eV per atom
# energy relative to the elements	0.014	eV per atom
# calculated density	7.289	Mg/m³
# raw total energy	-4.7105	eV per atom
data_Nd4Sm5Ho
_symmetry_space_group_name_H-M 'P -1'
_symmetry_Int_Tables_number 2
_cell_length_a 3.6401
_cell_length_b 9.6167
_cell_length_c 10.2950
_cell_angle_alpha 74.33
_cell_angle_beta 89.94
_cell_angle_gamma 79.13
loop_
_symmetry_equiv_pos_as_xyz
'x,y,z'
'-x,-y,-z'
loop_
_atom_site_label
_atom_site_fract_x
_atom_site_fract_y
_atom_site_fract_z
Nd1 0.0983 0.3018 0.2987
Nd2 0.3001 0.8992 0.9002
Sm1 0.0993 0.3019 0.8004
Sm2 0.3008 0.8995 0.4001
Sm3 0.5000 0.5000 0.5000
Ho1 0.5000 0.5000 0.0000

Entry 8:
# Tb6Ho8Cd (PBE-GGA, optimized geometry)
# DOS at the Fermi energy	1.367	states/eV per atom
# energy relative to the elements	0.225	eV per atom
# calculated density	8.166	Mg/m³
# raw total energy	-4.1292	eV per atom
data_Tb6Ho8Cd
_symmetry_space_group_name_H-M 'P -3'
_symmetry_Int_Tables_number 147
_cell_length_a 9.1526
_cell_length_b 9.1526
_cell_length_c 6.6863
_cell_angle_alpha 90.00
_cell_angle_beta 90.00
_cell_angle_gamma 120.00
loop_
_symmetry_equiv_pos_as_xyz
'x,y,z'
'-x,-y,-z'
'-y,x-y,z'
'y,-x+y,-z'
'-x+y,-x,z'
'x-y,x,-z'
loop_
_atom_site_label
_atom_site_fract_x
_atom_site_fract_y
_atom_site_fract_z
Tb1 0.0788 0.6796 0.3934
Ho1 0.0137 0.3250 0.1135
Ho2 0.3333 0.6667 0.8230
Cd1 0.0000 0.0000 0.5000

Entry 9:
# Na3ScV2Se6 (PBE-GGA, optimized geometry)
# DOS at the Fermi energy	0.403	states/eV per atom
# E_form (uncorrected)	-13.15	eV per formula unit
# calculated density	4.374	Mg/m³
# raw total energy	-5.2149	eV per atom
data_Na3ScV2Se6
_symmetry_space_group_name_H-M 'C 1 2/m 1'
_symmetry_Int_Tables_number 12
_cell_length_a 6.6256
_cell_length_b 11.3096
_cell_length_c 7.3190
_cell_angle_alpha 90.00
_cell_angle_beta 107.32
_cell_angle_gamma 90.00
loop_
_symmetry_equiv_pos_as_xyz
'x,y,z'
'-x,-y,-z'
'-x,y,-z'
'x,-y,z'
'x+1/2,y+1/2,z'
'-x+1/2,-y+1/2,-z'
'-x+1/2,y+1/2,-z'
'x+1/2,-y+1/2,z'
loop_
_atom_site_label
_atom_site_fract_x
_atom_site_fract_y
_atom_site_fract_z
Na1 0.0000 0.0000 0.0000
Na2 0.0000 0.3309 0.0000
Sc1 0.0000 0.5000 0.5000
V1 0.0000 0.1543 0.5000
Se1 0.2302 0.0000 0.7195
Se2 0.2397 0.3256 0.7054

Entry 10:
# Ba2H6IrAu (PBE-GGA, optimized geometry)
# calculated density	7.837	Mg/m³
# raw total energy	-4.1600	eV per atom
data_Ba2H6IrAu
_symmetry_space_group_name_H-M 'C 1 m 1'
_symmetry_Int_Tables_number 8
_cell_length_a 8.2747
_cell_length_b 8.2843
_cell_length_c 5.8536
_cell_angle_alpha 90.00
_cell_angle_beta 134.97
_cell_angle_gamma 90.00
loop_
_symmetry_equiv_pos_as_xyz
'x,y,z'
'x,-y,z'
'x+1/2,y+1/2,z'
'x+1/2,-y+1/2,z'
loop_
_atom_site_label
_atom_site_fract_x
_atom_site_fract_y
_atom_site_fract_z
Ba1 0.0000 0.2500 0.0000
H1 0.0001 0.2056 0.5000
H2 0.2054 0.0000 0.9114
H3 0.2059 0.0000 0.4998
H4 0.2942 0.5000 0.5002
H5 0.2947 0.5000 0.0886
Ir1 0.0000 0.0000 0.5000
Au1 0.9998 0.5000 0.4999

Entry 11:
# SrTl2Pd2 (PBE-GGA, optimized geometry)
# DOS at the Fermi energy	0.353	states/eV per atom
# energy relative to the elements	-0.314	eV per atom
# calculated density	9.620	Mg/m³
# raw total energy	-3.6740	eV per atom
data_SrTl2Pd2
_symmetry_space_group_name_H-M 'C 1 2/c 1'
_symmetry_Int_Tables_number 15
_cell_length_a 7.7439
_cell_length_b 13.3386
_cell_length_c 5.8402
_cell_angle_alpha 90.00
_cell_angle_beta 125.73
_cell_angle_gamma 90.00
loop_
_symmetry_equiv_pos_as_xyz
'x,y,z'
'-x,-y,-z'
'-x,y,-z+1/2'
'x,-y,z+1/2'
'x+1/2,y+1/2,z'
'-x+1/2,-y+1/2,-z'
'-x+1/2,y+1/2,-z+1/2'
'x+1/2,-y+1/2,z+1/2'
loop_
_atom_site_label
_atom_site_fract_x
_atom_site_fract_y
_atom_site_fract_z
Sr1 0.0000 0.1657 0.2500
Tl1 0.2427 0.4252 0.0450
Pd1 0.0000 0.2546 0.7500
Pd2 0.0000 0.3982 0.2500

Entry 12:
# TbCeInHg (PBE-GGA, optimized geometry)
# DOS at the Fermi energy	2.639	states/eV per atom
# energy relative to the elements	-0.378	eV per atom
# calculated density	9.207	Mg/m³
# raw total energy	-3.7795	eV per atom
data_TbCeInHg
_symmetry_space_group_name_H-M 'F -4 3 m'
_symmetry_Int_Tables_number 216
_symmetry_space_group_name_Hall 'F -4 2 3'
_cell_length_a 7.6248
_cell_length_b 7.6248
_cell_length_c 7.6248
_cell_angle_alpha 90.00
_cell_angle_beta 90.00
_cell_angle_gamma 90.00
loop_
_atom_site_label
_atom_site_fract_x
_atom_site_fract_y
_atom_site_fract_z
Tb1 0.0000 0.0000 0.0000
Ce1 0.0000 0.0000 0.5000
In1 0.2500 0.2500 0.2500
Hg1 0.2500 0.2500 0.7500